No. 1
Material: Sr2Al12ZnIr3
Method: DFT, PBE
State: optimized geometry

Values from the calculation:
DFT formation energy in kJ/mol of formula units: -125.2
Calculated density in Mg/m³: 4.216

The structure in CIF format:
```
data_Sr2Al12ZnIr3
_cell_length_a 9.2312
_cell_length_b 9.2312
_cell_length_c 18.2687
_cell_angle_alpha 90.00
_cell_angle_beta 90.00
_cell_angle_gamma 120.00
_space_group_name_H-M_alt 'R -3 m'
_space_group_IT_number 166
_space_group_name_Hall '-R 3 2"'
loop_
_atom_site_label
_atom_site_type_symbol
_atom_site_fract_x
_atom_site_fract_y
_atom_site_fract_z
Sr1 Sr 0.0000 0.0000 0.1088
Al1 Al 0.0181 0.5090 0.1329
Al2 Al 0.0999 0.5500 0.3020
Zn1 Zn 0.0000 0.0000 0.5000
Ir1 Ir 0.0000 0.5000 0.0000
```



No. 2
Material: TiMnSe3
Method: DFT, PBE
State: optimized geometry

Values from the calculation:
ΔE to the lowest computed polymorph in meV per atom: 28
Calculated density in Mg/m³: 5.091

The structure in CIF format:
```
data_TiMnSe3
_cell_length_a 6.3316
_cell_length_b 11.5307
_cell_length_c 6.4836
_cell_angle_alpha 90.00
_cell_angle_beta 110.58
_cell_angle_gamma 90.00
_space_group_name_H-M_alt 'C 1 2/m 1'
_space_group_IT_number 12
loop_
_space_group_symop_operation_xyz
'x,y,z'
'-x,-y,-z'
'-x,y,-z'
'x,-y,z'
'x+1/2,y+1/2,z'
'-x+1/2,-y+1/2,-z'
'-x+1/2,y+1/2,-z'
'x+1/2,-y+1/2,z'
loop_
_atom_site_label
_atom_site_type_symbol
_atom_site_fract_x
_atom_site_fract_y
_atom_site_fract_z
Ti1 Ti 0.0000 0.1622 0.0000
Mn1 Mn 0.0000 0.3403 0.5000
Se1 Se 0.2381 0.5000 0.7761
Se2 Se 0.2433 0.1811 0.7517
```



No. 3
Material: Al2Mo
Method: DFT, PBE
State: optimized geometry

Values from the calculation:
DFT formation energy in kJ/mol of formula units: 13.0
Calculated density in Mg/m³: 5.172

The structure in CIF format:
```
data_Al2Mo
_cell_length_a 2.7265
_cell_length_b 4.6371
_cell_length_c 7.6132
_cell_angle_alpha 90.00
_cell_angle_beta 90.00
_cell_angle_gamma 90.00
_space_group_name_H-M_alt 'I m m m'
_space_group_IT_number 71
_space_group_name_Hall '-I 2 2'
loop_
_atom_site_label
_atom_site_type_symbol
_atom_site_fract_x
_atom_site_fract_y
_atom_site_fract_z
Al1 Al 0.0000 0.0000 0.1859
Mo1 Mo 0.0000 0.5000 0.0000
```



No. 4
Material: CoSb2W
Method: DFT, PBE
State: optimized geometry

Values from the calculation:
ΔE to the lowest computed polymorph in meV per atom: 241
Calculated density in Mg/m³: 11.129

The structure in CIF format:
```
data_CoSb2W
_cell_length_a 3.2195
_cell_length_b 3.2195
_cell_length_c 24.2493
_cell_angle_alpha 90.00
_cell_angle_beta 90.00
_cell_angle_gamma 120.00
_space_group_name_H-M_alt 'R -3 m'
_space_group_IT_number 166
_space_group_name_Hall '-R 3 2"'
loop_
_atom_site_label
_atom_site_type_symbol
_atom_site_fract_x
_atom_site_fract_y
_atom_site_fract_z
Co1 Co 0.0000 0.0000 0.0000
Sb1 Sb 0.0000 0.0000 0.2552
W1 W 0.0000 0.0000 0.5000
```



no.,magnetization (Bohr magnetons per cell),N(E_F) (states/eV/atom),total energy (eV/atom)
1,0.013,0.53,-4.302
2,19.596,0.37,-6.250
3,0.000,0.45,-6.060
4,3.323,0.97,-6.590